DFT (GGA-PBE) results for a relaxed structure of RbHg3Pt.

Geometry as CIF:
```
data_RbHg3Pt
_chemical_formula_sum 'Rb6 Hg18 Pt6'
_space_group_name_H-M_alt 'R -3 m'
_space_group_IT_number 166
_space_group_name_Hall '-R 3 2"'
_cell_length_a 7.5928
_cell_length_b 7.5928
_cell_length_c 17.8779
_cell_angle_alpha 90.00
_cell_angle_beta 90.00
_cell_angle_gamma 120.00
loop_
_atom_site_label
_atom_site_type_symbol
_atom_site_fract_x
_atom_site_fract_y
_atom_site_fract_z
Rb1 Rb 0.0000 0.0000 0.1010
Hg1 Hg 0.0527 0.5264 0.0906
Pt1 Pt 0.0000 0.0000 0.3016
```

Calculated values
Density, g/cm³: 9.85
V, Å³ per atom: 29.8
Calculated total energy, eV per formula unit: -8.46
Density of states at the Fermi level, states/eV/f.u.: 4.541

DFT (GGA-PBE) results for a relaxed structure of RbCeBi2.

Geometry as CIF:
```
data_RbCeBi2
_chemical_formula_sum 'Rb1 Ce1 Bi2'
_space_group_name_H-M_alt 'P 4/m m m'
_space_group_IT_number 123
_space_group_name_Hall '-P 4 2'
_cell_length_a 4.3086
_cell_length_b 4.3086
_cell_length_c 8.1805
_cell_angle_alpha 90.00
_cell_angle_beta 90.00
_cell_angle_gamma 90.00
loop_
_atom_site_label
_atom_site_type_symbol
_atom_site_fract_x
_atom_site_fract_y
_atom_site_fract_z
Rb1 Rb 0.0000 0.0000 0.0000
Ce1 Ce 0.0000 0.0000 0.5000
Bi1 Bi 0.5000 0.5000 0.3105
```

Calculated values
Density, g/cm³: 7.04
V, Å³ per atom: 38.0
Calculated total energy, eV per formula unit: -16.70
Density of states at the Fermi level, states/eV/f.u.: 6.271

DFT (GGA-PBE) results for a relaxed structure of SrLaZn2Si.

Geometry as CIF:
```
data_SrLaZn2Si
_chemical_formula_sum 'Sr1 La1 Zn2 Si1'
_space_group_name_H-M_alt 'P 4/m m m'
_space_group_IT_number 123
_space_group_name_Hall '-P 4 2'
_cell_length_a 5.3336
_cell_length_b 5.3336
_cell_length_c 6.5497
_cell_angle_alpha 90.00
_cell_angle_beta 90.00
_cell_angle_gamma 90.00
loop_
_atom_site_label
_atom_site_type_symbol
_atom_site_fract_x
_atom_site_fract_y
_atom_site_fract_z
Sr1 Sr 0.0000 0.0000 0.0000
La1 La 0.0000 0.0000 0.5000
Zn1 Zn 0.0000 0.5000 0.0000
Si1 Si 0.5000 0.5000 0.5000
```

Calculated values
Density, g/cm³: 3.44
E_form (uncorrected), kJ/mol of atoms: 115.2
V, Å³ per atom: 37.3
Density of states at the Fermi level, states/eV/f.u.: 4.607

DFT (GGA-PBE) results for a relaxed structure of Ce3Al3Au8.

Geometry as CIF:
```
data_Ce3Al3Au8
_chemical_formula_sum 'Ce6 Al6 Au16'
_space_group_name_H-M_alt 'C 1 2/m 1'
_space_group_IT_number 12
_cell_length_a 16.3972
_cell_length_b 4.6562
_cell_length_c 9.0465
_cell_angle_alpha 90.00
_cell_angle_beta 122.59
_cell_angle_gamma 90.00
loop_
_space_group_symop_operation_xyz
'x,y,z'
'-x,-y,-z'
'-x,y,-z'
'x,-y,z'
'x+1/2,y+1/2,z'
'-x+1/2,-y+1/2,-z'
'-x+1/2,y+1/2,-z'
'x+1/2,-y+1/2,z'
loop_
_atom_site_label
_atom_site_type_symbol
_atom_site_fract_x
_atom_site_fract_y
_atom_site_fract_z
Ce1 Ce 0.0000 0.0000 0.0000
Ce2 Ce 0.2072 0.5000 0.7294
Al1 Al 0.0000 0.0000 0.5000
Al2 Al 0.1676 0.5000 0.3298
Au1 Au 0.0091 0.5000 0.3403
Au2 Au 0.1291 0.0000 0.8371
Au3 Au 0.1430 0.0000 0.4335
Au4 Au 0.1466 0.5000 0.0335
```

Calculated values
Density, g/cm³: 11.85
V, Å³ per atom: 20.8
Calculated total energy, eV per formula unit: -64.37
Density of states at the Fermi level, states/eV/f.u.: 21.477